No. 1
FeAuCI2: optimized geometry, PBE-GGA.

Output
The space-group type is No. 123. The total energy comes out at -17.62 eV/f.u. The value obtained for the uncorrected formation energy is 1.29 eV per atom. As for the density: 7.0 g/cm3.

a = 5.571 Å, b = 3.971 Å, c = 5.571 Å
α = 90.00°, β = 90.00°, γ = 90.00°
Last column: magnetic moment on the atom in μB.
Element x y z (fractional)
I (0.000, 0.000, 0.500)  0.02
I (0.500, 0.000, 0.000)  0.03
C (0.000, 0.000, 0.000)  0.00
Au (0.000, 0.500, 0.000)  -0.01
Fe (0.500, 0.500, 0.500)  3.20



No. 2
La2TbEr: optimized geometry, PBE-GGA.

Output
For the energy of formation, the calculation gives 0.022 eV per atom. The space-group type is No. 123. The total energy comes out at -18.96 eV/f.u. As for the density: 7.4 g/cm3.

a = 5.007 Å, b = 5.214 Å, c = 5.214 Å
α = 90.00°, β = 90.00°, γ = 90.00°
Element x y z (fractional)
La (0.000, 0.000, 0.500)
La (0.000, 0.500, 0.000)
Tb (0.500, 0.500, 0.500)
Er (0.500, 0.000, 0.000)



No. 3
Sm6PuO12: optimized geometry, PBE-GGA.

Output
The space-group type is No. 148. The total energy comes out at -165.35 eV/f.u. The value obtained for the uncorrected formation energy is -3.33 eV per atom. As for the density: 7.6 g/cm3.

a = 6.715 Å, b = 6.715 Å, c = 6.715 Å
α = 98.75°, β = 98.75°, γ = 98.75°
Last column: magnetic moment on the atom in μB.
Element x y z (fractional)
Sm (0.684, 0.855, 0.389)  0.00
Sm (0.611, 0.316, 0.145)  0.00
Sm (0.145, 0.611, 0.316)  0.00
Sm (0.316, 0.145, 0.611)  0.00
Sm (0.389, 0.684, 0.855)  0.00
Sm (0.855, 0.389, 0.684)  0.00
Pu (0.000, 0.000, 0.000)  2.46
O (0.822, 0.565, 0.410)  0.00
O (0.410, 0.822, 0.565)  0.00
O (0.565, 0.410, 0.822)  0.00
O (0.178, 0.435, 0.590)  0.00
O (0.590, 0.178, 0.435)  0.00
O (0.435, 0.590, 0.178)  0.00
O (0.071, 0.957, 0.303)  -0.07
O (0.043, 0.697, 0.929)  -0.07
O (0.697, 0.929, 0.043)  -0.07
O (0.929, 0.043, 0.697)  -0.07
O (0.957, 0.303, 0.071)  -0.07
O (0.303, 0.071, 0.957)  -0.07



No. 4
Ac3SnB2N6: optimized geometry, PBE-GGA.

Output
The space-group type is No. 164. The total energy comes out at -89.27 eV/f.u. The value obtained for the uncorrected formation energy is -0.80 eV per atom. As for the density: 8.1 g/cm3.

a = 5.599 Å, b = 5.599 Å, c = 6.869 Å
α = 90.00°, β = 90.00°, γ = 120.00°
Element x y z (fractional)
Ac (0.333, 0.667, 0.677)
Ac (0.667, 0.333, 0.323)
Ac (0.000, 0.000, 0.000)
Sn (0.000, 0.000, 0.500)
B (0.667, 0.333, 0.726)
B (0.333, 0.667, 0.274)
N (0.639, 0.819, 0.286)
N (0.181, 0.361, 0.286)
N (0.181, 0.819, 0.286)
N (0.819, 0.639, 0.714)
N (0.361, 0.181, 0.714)
N (0.819, 0.181, 0.714)



No. 5
Sb6PdPt2: optimized geometry, PBE-GGA.

Output
The space-group type is No. 164. The total energy comes out at -45.06 eV/f.u. The value obtained for the uncorrected formation energy is -0.34 eV per atom. As for the density: 9.2 g/cm3.

a = 5.268 Å, b = 12.038 Å, c = 12.038 Å
α = 120.00°, β = 90.00°, γ = 90.00°
Element x y z (fractional)
Sb (0.283, 0.906, 0.453)
Sb (0.283, 0.547, 0.094)
Sb (0.283, 0.547, 0.453)
Sb (0.717, 0.453, 0.547)
Sb (0.717, 0.453, 0.906)
Sb (0.717, 0.094, 0.547)
Sb (0.724, 0.426, 0.213)
Sb (0.724, 0.787, 0.574)
Sb (0.724, 0.787, 0.213)
Sb (0.722, 0.770, 0.885)
Sb (0.722, 0.115, 0.230)
Sb (0.722, 0.115, 0.885)
Sb (0.278, 0.885, 0.115)
Sb (0.278, 0.885, 0.770)
Sb (0.278, 0.230, 0.115)
Sb (0.276, 0.574, 0.787)
Sb (0.276, 0.213, 0.426)
Sb (0.276, 0.213, 0.787)
Pd (0.510, 0.667, 0.333)
Pd (0.490, 0.333, 0.667)
Pd (0.000, 0.000, 0.000)
Pt (0.000, 0.000, 0.334)
Pt (0.000, 0.666, 0.666)
Pt (0.000, 0.334, 0.000)
Pt (0.000, 0.000, 0.666)
Pt (0.000, 0.334, 0.334)
Pt (0.000, 0.666, 0.000)



No. 6
Cs4Sm3ZrS8: optimized geometry, PBE-GGA.

Output
The space-group type is No. 166. The total energy comes out at -86.32 eV/f.u. The value obtained for the uncorrected formation energy is -1.70 eV per atom. As for the density: 4.7 g/cm3.

a = 8.202 Å, b = 9.371 Å, c = 8.205 Å
α = 115.99°, β = 119.99°, γ = 90.00°
Element x y z (fractional)
Cs (0.500, 0.000, 0.000)
Cs (0.500, 0.000, 0.500)
Cs (0.000, 0.000, 0.000)
Cs (0.000, 0.000, 0.500)
Sm (0.500, 0.500, 0.000)
Sm (0.500, 0.500, 0.500)
Sm (0.000, 0.500, 0.500)
Zr (0.000, 0.500, 0.000)
S (0.218, 0.682, 0.964)
S (0.218, 0.682, 0.436)
S (0.271, 0.312, 0.541)
S (0.746, 0.682, 0.964)
S (0.254, 0.318, 0.036)
S (0.729, 0.688, 0.459)
S (0.782, 0.318, 0.564)
S (0.782, 0.318, 0.036)



No. 7
Ba2InAg6Au: optimized geometry, PBE-GGA.

Output
For the energy of formation, the calculation gives -0.042 eV per atom. The space-group type is No. 12. The total energy comes out at -27.39 eV/f.u. As for the density: 6.9 g/cm3.

a = 7.493 Å, b = 7.497 Å, c = 7.492 Å
α = 60.09°, β = 60.11°, γ = 90.09°
Element x y z (fractional)
Ba (0.750, 0.250, 0.500)
Ba (0.250, 0.750, 0.500)
In (0.000, 0.000, 0.000)
Ag (0.252, 0.252, 0.497)
Ag (0.749, 0.748, 0.000)
Ag (0.251, 0.749, 0.000)
Ag (0.749, 0.251, 0.000)
Ag (0.251, 0.252, 0.000)
Ag (0.748, 0.748, 0.503)
Au (0.500, 0.500, 0.000)



No. 8
CaHgAs2: optimized geometry, PBE-GGA.

Output
For the energy of formation, the calculation gives -0.423 eV per atom. The space-group type is No. 8. The total energy comes out at -13.30 eV/f.u. As for the density: 6.6 g/cm3.

a = 6.268 Å, b = 6.268 Å, c = 4.273 Å
α = 107.16°, β = 107.16°, γ = 38.15°
Element x y z (fractional)
As (0.014, 0.014, 0.127)
As (0.221, 0.221, 0.109)
Ca (0.495, 0.495, 0.609)
Hg (0.770, 0.770, 0.654)



No. 9
RbCa2Os: optimized geometry, PBE-GGA.

Output
For the energy of formation, the calculation gives 0.878 eV per atom. The space-group type is No. 122. The total energy comes out at -12.69 eV/f.u. As for the density: 2.9 g/cm3.

a = 8.320 Å, b = 8.320 Å, c = 8.328 Å
α = 60.03°, β = 60.03°, γ = 90.00°
Element x y z (fractional)
Ca (0.874, 0.125, 0.250)
Ca (0.876, 0.625, 0.250)
Ca (0.375, 0.126, 0.750)
Ca (0.875, 0.124, 0.750)
Os (0.000, 0.000, 0.000)
Os (0.750, 0.250, 0.500)
Rb (0.500, 0.500, 0.000)
Rb (0.250, 0.750, 0.500)



No. 10
AgMo2N: optimized geometry, PBE-GGA.

Output
The space-group type is No. 122. The total energy comes out at -30.00 eV/f.u. The value obtained for the uncorrected formation energy is 0.71 eV per atom. As for the density: 7.4 g/cm3.

a = 4.991 Å, b = 4.991 Å, c = 6.670 Å
α = 68.03°, β = 68.03°, γ = 90.00°
Element x y z (fractional)
Mo (0.491, 0.125, 0.250)
Mo (0.259, 0.625, 0.250)
Mo (0.375, 0.509, 0.750)
Mo (0.875, 0.741, 0.750)
Ag (0.000, 0.000, 0.000)
Ag (0.750, 0.250, 0.500)
N (0.500, 0.500, 0.000)
N (0.250, 0.750, 0.500)



No. 11
Zn3Cu5: optimized geometry, PBE-GGA.

Output
For the energy of formation, the calculation gives 0.022 eV per atom. The space-group type is No. 63. The total energy comes out at -24.13 eV/f.u. As for the density: 8.1 g/cm3.

a = 7.141 Å, b = 7.142 Å, c = 4.803 Å
α = 90.00°, β = 90.00°, γ = 59.94°
Element x y z (fractional)
Zn (0.598, 0.000, 0.250)
Zn (0.402, 0.000, 0.750)
Zn (0.403, 0.597, 0.250)
Zn (0.000, 0.402, 0.250)
Zn (0.000, 0.598, 0.750)
Zn (0.597, 0.403, 0.750)
Cu (0.667, 0.667, 0.000)
Cu (0.333, 0.333, 0.500)
Cu (0.333, 0.333, 0.000)
Cu (0.667, 0.667, 0.500)
Cu (0.217, 0.000, 0.250)
Cu (0.783, 0.000, 0.750)
Cu (0.784, 0.216, 0.250)
Cu (0.000, 0.783, 0.250)
Cu (0.000, 0.217, 0.750)
Cu (0.216, 0.784, 0.750)



No. 12
BSeI: optimized geometry, PBE-GGA.

Output
The space-group type is No. 1. The total energy comes out at -11.18 eV/f.u. The value obtained for the uncorrected formation energy is 0.18 eV per atom. As for the density: 4.5 g/cm3.

a = 3.529 Å, b = 3.532 Å, c = 7.541 Å
α = 86.30°, β = 77.58°, γ = 60.53°
Element x y z (fractional)
B (0.735, 0.871, 0.646)
Se (0.468, 0.529, 0.524)
I (0.582, 0.901, 0.936)



No. 13
PuAu3: optimized geometry, PBE-GGA.

Output
For the energy of formation, the calculation gives -0.355 eV per atom. The space-group type is No. 71. The total energy comes out at -25.58 eV/f.u. As for the density: 16.2 g/cm3.

a = 4.936 Å, b = 4.894 Å, c = 4.963 Å
α = 119.55°, β = 119.82°, γ = 90.00°
Last column: magnetic moment on the atom in μB.
Element x y z (fractional)
Au (0.252, 0.669, 0.504)  -0.02
Au (0.500, 0.417, 0.000)  -0.01
Au (0.748, 0.165, 0.496)  -0.02
Pu (0.000, 0.917, 0.000)  5.14



No. 14
Pr3HgGe4: optimized geometry, PBE-GGA.

Output
For the energy of formation, the calculation gives -0.552 eV per atom. The space-group type is No. 71. The total energy comes out at -37.52 eV/f.u. As for the density: 7.1 g/cm3.

a = 4.440 Å, b = 6.172 Å, c = 8.707 Å
α = 110.77°, β = 104.77°, γ = 90.00°
Element x y z (fractional)
Pr (0.000, 0.500, 0.000)
Pr (0.188, 0.188, 0.376)
Pr (0.812, 0.812, 0.624)
Hg (0.500, 0.000, 0.000)
Ge (0.372, 0.570, 0.743)
Ge (0.628, 0.430, 0.257)
Ge (0.628, 0.827, 0.257)
Ge (0.372, 0.173, 0.743)



No. 15
TbPm5Ag4: optimized geometry, PBE-GGA.

Output
For the energy of formation, the calculation gives -0.206 eV per atom. The space-group type is No. 123. The total energy comes out at -41.85 eV/f.u. As for the density: 8.0 g/cm3.

a = 3.697 Å, b = 3.697 Å, c = 20.073 Å
α = 90.00°, β = 90.00°, γ = 90.00°
Element x y z (fractional)
Tb (0.000, 0.000, 0.000)
Pm (0.500, 0.500, 0.124)
Pm (0.500, 0.500, 0.311)
Pm (0.500, 0.500, 0.500)
Pm (0.500, 0.500, 0.689)
Pm (0.500, 0.500, 0.876)
Ag (0.000, 0.000, 0.217)
Ag (0.000, 0.000, 0.406)
Ag (0.000, 0.000, 0.594)
Ag (0.000, 0.000, 0.783)



No. 16
CsMg14Fe: optimized geometry, PBE-GGA.

Output
For the energy of formation, the calculation gives 0.246 eV per atom. The space-group type is No. 187. The total energy comes out at -27.70 eV/f.u. As for the density: 2.3 g/cm3.

a = 6.482 Å, b = 6.482 Å, c = 10.662 Å
α = 90.00°, β = 90.00°, γ = 120.00°
Last column: magnetic moment on the atom in μB.
Element x y z (fractional)
Cs (0.667, 0.333, 0.500)  0.01
Mg (0.654, 0.827, 0.000)  -0.01
Mg (0.676, 0.838, 0.500)  0.00
Mg (0.173, 0.346, 0.000)  -0.01
Mg (0.162, 0.324, 0.500)  0.00
Mg (0.173, 0.827, 0.000)  -0.01
Mg (0.162, 0.838, 0.500)  0.00
Mg (0.831, 0.169, 0.218)  -0.01
Mg (0.831, 0.169, 0.782)  -0.01
Mg (0.831, 0.662, 0.218)  -0.01
Mg (0.831, 0.662, 0.782)  -0.01
Mg (0.338, 0.169, 0.218)  -0.01
Mg (0.338, 0.169, 0.782)  -0.01
Mg (0.333, 0.667, 0.261)  0.00
Mg (0.333, 0.667, 0.739)  0.00
Fe (0.667, 0.333, 0.000)  2.78



No. 17
LaFePb4: optimized geometry, PBE-GGA.

Output
For the energy of formation, the calculation gives 0.357 eV per atom. The space-group type is No. 216. The total energy comes out at -26.08 eV/f.u. As for the density: 9.2 g/cm3.

a = 6.393 Å, b = 6.393 Å, c = 6.393 Å
α = 60.00°, β = 60.00°, γ = 60.00°
Last column: magnetic moment on the atom in μB.
Element x y z (fractional)
La (0.000, 0.000, 0.000)  -0.07
Fe (0.750, 0.750, 0.750)  3.21
Pb (0.875, 0.375, 0.375)  -0.01
Pb (0.375, 0.375, 0.875)  -0.01
Pb (0.375, 0.875, 0.375)  -0.01
Pb (0.375, 0.375, 0.375)  -0.01



No. 18
Ac2TbNd: optimized geometry, PBE-GGA.

Output
For the energy of formation, the calculation gives 0.035 eV per atom. The space-group type is No. 123. The total energy comes out at -17.48 eV/f.u. As for the density: 8.1 g/cm3.

a = 5.235 Å, b = 5.441 Å, c = 5.441 Å
α = 90.00°, β = 90.00°, γ = 90.00°
Element x y z (fractional)
Nd (0.500, 0.000, 0.000)
Ac (0.000, 0.000, 0.500)
Ac (0.000, 0.500, 0.000)
Tb (0.500, 0.500, 0.500)



No. 19
Pr3PuPa2N6: optimized geometry, PBE-GGA.

Output
The space-group type is No. 12. The total energy comes out at -115.32 eV/f.u. The value obtained for the uncorrected formation energy is -1.48 eV per atom. As for the density: 10.3 g/cm3.

a = 6.197 Å, b = 6.197 Å, c = 6.251 Å
α = 99.53°, β = 99.53°, γ = 119.99°
Last column: magnetic moment on the atom in μB.
Element x y z (fractional)
Pr (0.165, 0.835, 0.500)  0.02
Pr (0.835, 0.165, 0.500)  0.02
Pr (0.500, 0.500, 0.500)  0.03
Pu (0.000, 0.000, 0.000)  4.73
Pa (0.333, 0.667, 0.000)  0.10
Pa (0.667, 0.333, 0.000)  0.10
N (0.929, 0.585, 0.787)  -0.04
N (0.726, 0.726, 0.213)  -0.04
N (0.071, 0.415, 0.213)  -0.04
N (0.585, 0.929, 0.787)  -0.04
N (0.274, 0.274, 0.787)  -0.04
N (0.415, 0.071, 0.213)  -0.04



No. 20
KAgHgCl4: optimized geometry, PBE-GGA.

Output
The space-group type is No. 11. The total energy comes out at -18.00 eV/f.u. The value obtained for the uncorrected formation energy is -0.91 eV per atom. As for the density: 3.8 g/cm3.

a = 7.024 Å, b = 7.324 Å, c = 8.405 Å
α = 90.00°, β = 101.27°, γ = 90.00°
Element x y z (fractional)
K (0.770, 0.750, 0.933)
K (0.230, 0.250, 0.067)
Ag (0.720, 0.750, 0.352)
Ag (0.280, 0.250, 0.648)
Hg (0.217, 0.750, 0.357)
Hg (0.783, 0.250, 0.643)
Cl (0.037, 0.498, 0.735)
Cl (0.963, 0.998, 0.265)
Cl (0.963, 0.502, 0.265)
Cl (0.037, 0.002, 0.735)
Cl (0.409, 0.750, 0.112)
Cl (0.591, 0.250, 0.888)
Cl (0.512, 0.750, 0.573)
Cl (0.488, 0.250, 0.427)



No. 21
LiAl3Ag3: optimized geometry, PBE-GGA.

Output
For the energy of formation, the calculation gives -0.085 eV per atom. The space-group type is No. 148. The total energy comes out at -22.29 eV/f.u. As for the density: 5.3 g/cm3.

a = 7.469 Å, b = 7.469 Å, c = 6.855 Å
α = 56.99°, β = 56.99°, γ = 60.00°
Element x y z (fractional)
Li (0.334, 0.334, 0.999)
Li (0.666, 0.666, 0.001)
Al (0.463, 0.778, 0.641)
Al (0.778, 0.118, 0.641)
Al (0.118, 0.463, 0.641)
Al (0.882, 0.537, 0.359)
Al (0.222, 0.882, 0.359)
Al (0.537, 0.222, 0.359)
Ag (0.268, 0.631, 0.152)
Ag (0.948, 0.268, 0.152)
Ag (0.631, 0.948, 0.152)
Ag (0.369, 0.052, 0.848)
Ag (0.052, 0.732, 0.848)
Ag (0.732, 0.369, 0.848)



No. 22
YEr3P4: optimized geometry, PBE-GGA.

Output
For the energy of formation, the calculation gives -1.616 eV per atom. The space-group type is No. 65. The total energy comes out at -54.72 eV/f.u. As for the density: 6.7 g/cm3.

a = 3.981 Å, b = 6.892 Å, c = 6.892 Å
α = 70.54°, β = 90.00°, γ = 90.00°
Element x y z (fractional)
Y (0.500, 0.500, 0.000)
P (0.000, 0.752, 0.748)
P (0.500, 0.751, 0.251)
P (0.000, 0.248, 0.252)
P (0.500, 0.249, 0.749)
Er (0.500, 0.000, 0.500)
Er (0.000, 0.000, 0.000)
Er (0.000, 0.500, 0.500)